Record 1
DFT (PBE) results for a relaxed structure of KMgZn4.

* DFT total energy: -7.3 eV/cell
* space group: F-43m (216)
* energy of formation from the pure elements: 83 meV/atom

Cell lengths 5.547, 5.547, 5.547 Å; angles 60.00, 60.00, 60.00 degrees
Fractional coordinates of all 6 atoms:
K: 0.000 0.000 0.000
Mg: 0.250 0.250 0.250
Zn: 0.128 0.624 0.624
Zn: 0.624 0.128 0.624
Zn: 0.624 0.624 0.128
Zn: 0.624 0.624 0.624

***

Record 2
DFT (PBE) results for a relaxed structure of KMgZn2.

* DFT total energy: -4.1 eV/cell
* space group: I-4m2 (119)
* energy of formation from the pure elements: 282 meV/atom

Cell lengths 5.756, 5.756, 5.756 Å; angles 131.90, 131.90, 70.38 degrees
Fractional coordinates of all 4 atoms:
K: 0.000 0.000 0.000
Mg: 0.250 0.750 0.500
Zn: 0.500 0.500 0.000
Zn: 0.750 0.250 0.500

***

Record 3
DFT (PBE) results for a relaxed structure of KMg4Zn.

* DFT total energy: -7.4 eV/cell
* space group: F-43m (216)
* energy of formation from the pure elements: 228 meV/atom

Cell lengths 6.151, 6.151, 6.151 Å; angles 60.00, 60.00, 60.00 degrees
Fractional coordinates of all 6 atoms:
K: 0.000 0.000 0.000
Mg: 0.128 0.624 0.624
Mg: 0.624 0.128 0.624
Mg: 0.624 0.624 0.128
Mg: 0.624 0.624 0.624
Zn: 0.250 0.250 0.250

***

Record 4
DFT (PBE) results for a relaxed structure of KMgZn2.

* DFT total energy: -4.9 eV/cell
* space group: Cmmm (65)
* energy of formation from the pure elements: 87 meV/atom

Cell lengths 3.728, 3.728, 7.573 Å; angles 90.00, 90.00, 90.11 degrees
Fractional coordinates of all 4 atoms:
K: 0.000 0.000 0.000
Mg: 0.000 0.000 0.500
Zn: 0.500 0.500 0.331
Zn: 0.500 0.500 0.669

***

Record 5
DFT (PBE) results for a relaxed structure of KMg2Zn.

* DFT total energy: -4.5 eV/cell
* space group: P2/m (10)
* energy of formation from the pure elements: 262 meV/atom

Cell lengths 5.828, 3.212, 6.417 Å; angles 90.00, 110.79, 90.00 degrees
Fractional coordinates of all 4 atoms:
K: 0.000 0.000 0.000
Mg: 0.000 0.500 0.500
Mg: 0.500 0.000 0.500
Zn: 0.500 0.500 0.000

***

Record 6
DFT (PBE) results for a relaxed structure of K2MgZn2.

* DFT total energy: -9.6 eV/cell
* E above lowest polymorph: 176.1 meV/atom
* space group: P4/mbm (127)
* energy of formation from the pure elements: 309 meV/atom

Cell lengths 10.078, 10.078, 3.388 Å; angles 90.00, 90.00, 90.00 degrees
Fractional coordinates of all 10 atoms:
K: 0.194 0.306 0.000
K: 0.306 0.806 0.000
K: 0.694 0.194 0.000
K: 0.806 0.694 0.000
Mg: 0.000 0.000 0.000
Mg: 0.500 0.500 0.000
Zn: 0.093 0.593 0.500
Zn: 0.407 0.093 0.500
Zn: 0.593 0.907 0.500
Zn: 0.907 0.407 0.500

***

Record 7
DFT (PBE) results for a relaxed structure of KMg2Zn.

* DFT total energy: -4.7 eV/cell
* space group: R-3m (166)
* energy of formation from the pure elements: 211 meV/atom

Cell lengths 10.809, 10.809, 10.809 Å; angles 18.58, 18.58, 18.58 degrees
Fractional coordinates of all 4 atoms:
K: 0.000 0.000 0.000
Mg: 0.230 0.230 0.230
Mg: 0.770 0.770 0.770
Zn: 0.500 0.500 0.500

***

Record 8
DFT (PBE) results for a relaxed structure of KMgZn2.

* DFT total energy: -4.8 eV/cell
* space group: Pm (6)
* energy of formation from the pure elements: 103 meV/atom

Cell lengths 3.444, 4.378, 7.300 Å; angles 90.00, 103.39, 90.00 degrees
Fractional coordinates of all 4 atoms:
K: 0.000 0.000 0.000
Mg: 0.699 0.500 0.392
Zn: 0.257 0.000 0.511
Zn: 0.357 0.500 0.711

***

Record 9
DFT (PBE) results for a relaxed structure of KMgZn2.

* DFT total energy: -4.5 eV/cell
* space group: Imm2 (44)
* energy of formation from the pure elements: 188 meV/atom

Cell lengths 6.294, 6.294, 6.294 Å; angles 149.28, 127.59, 61.99 degrees
Fractional coordinates of all 4 atoms:
K: 0.000 0.000 0.000
Mg: 0.303 0.803 0.500
Zn: 0.530 0.530 0.000
Zn: 0.719 0.219 0.500

***

Record 10
DFT (PBE) results for a relaxed structure of KMgZn2.

* DFT total energy: -4.7 eV/cell
* space group: P4mm (99)
* energy of formation from the pure elements: 130 meV/atom

Cell lengths 3.410, 3.410, 8.616 Å; angles 90.00, 90.00, 90.00 degrees
Fractional coordinates of all 4 atoms:
K: 0.000 0.000 0.000
Mg: 0.500 0.500 0.357
Zn: 0.000 0.000 0.555
Zn: 0.500 0.500 0.708

***

Record 11
DFT (PBE) results for a relaxed structure of KMg2Zn.

* DFT total energy: -4.5 eV/cell
* space group: P4/mmm (123)
* energy of formation from the pure elements: 275 meV/atom

Cell lengths 4.783, 4.783, 5.008 Å; angles 90.00, 90.00, 90.00 degrees
Fractional coordinates of all 4 atoms:
K: 0.000 0.000 0.000
Mg: 0.000 0.500 0.500
Mg: 0.500 0.000 0.500
Zn: 0.500 0.500 0.000

***

Record 12
DFT (PBE) results for a relaxed structure of KMg2Zn.

* DFT total energy: -4.4 eV/cell
* space group: I4/mmm (139)
* energy of formation from the pure elements: 279 meV/atom

Cell lengths 5.903, 5.903, 5.903 Å; angles 131.57, 131.57, 70.90 degrees
Fractional coordinates of all 4 atoms:
K: 0.000 0.000 0.000
Mg: 0.250 0.750 0.500
Mg: 0.750 0.250 0.500
Zn: 0.500 0.500 0.000

***

Record 13
DFT (PBE) results for a relaxed structure of KMg3Zn.

* DFT total energy: -2.2 eV/cell
* E above lowest polymorph: 854.4 meV/atom
* space group: Pm-3m (221)
* energy of formation from the pure elements: 991 meV/atom

Cell lengths 6.836, 6.836, 6.836 Å; angles 90.00, 90.00, 90.00 degrees
Fractional coordinates of all 5 atoms:
K: 0.000 0.000 0.000
Mg: 0.000 0.000 0.500
Mg: 0.000 0.500 0.000
Mg: 0.500 0.000 0.000
Zn: 0.500 0.500 0.500

***

Record 14
DFT (PBE) results for a relaxed structure of KMg2Zn.

* DFT total energy: -4.9 eV/cell
* space group: Cm (8)
* energy of formation from the pure elements: 153 meV/atom

Cell lengths 5.219, 5.219, 7.243 Å; angles 99.03, 99.03, 38.50 degrees
Fractional coordinates of all 4 atoms:
K: 0.000 0.000 0.000
Mg: 0.221 0.221 0.642
Mg: 0.478 0.478 0.456
Zn: 0.749 0.749 0.341

***

Record 15
DFT (PBE) results for a relaxed structure of KMg2Zn.

* DFT total energy: -4.3 eV/cell
* space group: Cmmm (65)
* energy of formation from the pure elements: 328 meV/atom

Cell lengths 6.364, 6.364, 3.190 Å; angles 90.00, 90.00, 117.44 degrees
Fractional coordinates of all 4 atoms:
K: 0.000 0.000 0.000
Mg: 0.000 0.500 0.500
Mg: 0.500 0.000 0.500
Zn: 0.500 0.500 0.000

***

Record 16
DFT (PBE) results for a relaxed structure of KMg2Zn.

* DFT total energy: -8.7 eV/cell
* space group: I4_1/amd (141)
* energy of formation from the pure elements: 300 meV/atom

Cell lengths 9.841, 9.841, 9.841 Å; angles 144.68, 144.68, 50.81 degrees
Fractional coordinates of all 8 atoms:
K: 0.375 0.625 0.750
K: 0.625 0.375 0.250
Mg: 0.000 0.000 0.000
Mg: 0.000 0.000 0.500
Mg: 0.000 0.500 0.000
Mg: 0.500 0.000 0.500
Zn: 0.125 0.875 0.250
Zn: 0.875 0.125 0.750

***

Record 17
DFT (PBE) results for a relaxed structure of KMgZn2.

* DFT total energy: -4.7 eV/cell
* space group: Cm (8)
* energy of formation from the pure elements: 138 meV/atom

Cell lengths 5.309, 5.309, 6.702 Å; angles 103.51, 103.51, 36.75 degrees
Fractional coordinates of all 4 atoms:
K: 0.000 0.000 0.000
Mg: 0.193 0.193 0.596
Zn: 0.463 0.463 0.512
Zn: 0.782 0.782 0.308

***

Record 18
DFT (PBE) results for a relaxed structure of KMg2Zn.

* DFT total energy: -4.6 eV/cell
* space group: Imm2 (44)
* energy of formation from the pure elements: 244 meV/atom

Cell lengths 5.946, 5.946, 5.946 Å; angles 136.82, 125.21, 72.19 degrees
Fractional coordinates of all 4 atoms:
K: 0.000 0.000 0.000
Mg: 0.284 0.784 0.500
Mg: 0.547 0.547 0.000
Zn: 0.733 0.233 0.500

***

Record 19
DFT (PBE) results for a relaxed structure of KMg14Zn.

* DFT total energy: -23.2 eV/cell
* E above lowest polymorph: 9.1 meV/atom
* space group: P-6m2 (187)
* energy of formation from the pure elements: 93 meV/atom

Cell lengths 6.444, 6.444, 10.654 Å; angles 90.00, 90.00, 120.00 degrees
Fractional coordinates of all 16 atoms:
K: 0.000 0.000 0.000
Mg: 0.009 0.504 0.000
Mg: 0.168 0.335 0.265
Mg: 0.168 0.335 0.735
Mg: 0.168 0.832 0.265
Mg: 0.168 0.832 0.735
Mg: 0.496 0.504 0.000
Mg: 0.496 0.991 0.000
Mg: 0.503 0.006 0.500
Mg: 0.503 0.497 0.500
Mg: 0.665 0.832 0.265
Mg: 0.665 0.832 0.735
Mg: 0.667 0.333 0.239
Mg: 0.667 0.333 0.761
Mg: 0.994 0.497 0.500
Zn: 0.000 0.000 0.500

***

Record 20
DFT (PBE) results for a relaxed structure of K3MgZn.

* DFT total energy: -4.6 eV/cell
* E above lowest polymorph: 0.0 meV/atom
* space group: Pm-3m (221)
* energy of formation from the pure elements: 321 meV/atom

Cell lengths 6.500, 6.500, 6.500 Å; angles 90.00, 90.00, 90.00 degrees
Fractional coordinates of all 5 atoms:
K: 0.000 0.000 0.500
K: 0.000 0.500 0.000
K: 0.500 0.000 0.000
Mg: 0.500 0.500 0.500
Zn: 0.000 0.000 0.000